# 1
Li2AcZn: relaxed, GGA-PBE.

Unit cell a=5.1259 b=5.1259 c=5.1259 alpha=60.00 beta=60.00 gamma=60.00
With the nearest neighbours (Å) after each atom.
Sites, in units of the cell vectors:
Ac  0.0000  0.0000  0.0000  8 Li 3.14
Zn  0.5000  0.5000  0.5000  8 Li 3.14
Li  0.2500  0.2500  0.2500  4 Ac 3.14, 4 Zn 3.14
Li  0.7500  0.7500  0.7500  4 Ac 3.14, 4 Zn 3.14

***

# 2
Li2AcZn9: relaxed, GGA-PBE.

Unit cell a=3.8947 b=7.8986 c=7.8986 alpha=120.00 beta=90.00 gamma=90.00
With the nearest neighbours (Å) after each atom.
Sites, in units of the cell vectors:
Li  0.0000  0.6667  0.3333  3 Zn 2.28
Li  0.0000  0.3333  0.6667  3 Zn 2.28
Ac  0.0000  0.0000  0.0000  12 Zn 3.43
Zn  0.5000  0.7940  0.2060  2 Li 2.61, 6 Zn 2.82-2.84
Zn  0.0000  0.0000  0.5000  2 Li 2.28
Zn  0.0000  0.5000  0.5000  2 Li 2.28
Zn  0.5000  0.7940  0.5880  2 Li 2.61, 6 Zn 2.82-2.84
Zn  0.5000  0.2060  0.7940  2 Li 2.61, 6 Zn 2.82-2.84
Zn  0.5000  0.5880  0.7940  2 Li 2.61, 6 Zn 2.82-2.84
Zn  0.5000  0.2060  0.4120  2 Li 2.61, 6 Zn 2.82-2.84
Zn  0.0000  0.5000  0.0000  2 Li 2.28
Zn  0.5000  0.4120  0.2060  2 Li 2.61, 6 Zn 2.82-2.84

***

no.,excess energy over the best structure of this formula in the dataset (meV per atom),formation energy (kJ per mole of atoms)
1,146,6
2,124,-6